[1]
DFT (PBE-GGA) results for an optimized crystal structure of Li6Sn2Hg.

Values from the calculation:
- Calculated formation energy: -3.1 eV per formula unit
- Total DFT energy (no corrections): -2.546 eV/atom

POSCAR file:
```
Li6Sn2Hg
1.0
2.978 0.000 0.201
0.000 7.998 0.000
-0.491 -3.999 6.909
Li Sn Hg
6 2 1
direct
0.502 0.333 0.333 Li
0.498 0.000 0.667 Li
0.500 0.667 0.000 Li
0.500 0.333 0.000 Li
0.502 0.000 0.333 Li
0.498 0.667 0.667 Li
0.000 0.333 0.667 Sn
0.000 0.667 0.333 Sn
0.000 0.000 0.000 Hg
```



[2]
DFT (PBE-GGA) results for an optimized crystal structure of Li3SnHg3.

Values from the calculation:
- Calculated formation energy: 0.5 eV per formula unit
- Energy relative to the lowest polymorph listed for this composition: 377 meV per atom
- Total DFT energy (no corrections): -1.447 eV/atom

POSCAR file:
```
Li3SnHg3
1.0
7.148 0.000 0.000
0.000 7.148 0.000
0.000 0.000 7.148
Hg Li Sn
6 6 2
direct
0.500 0.750 0.000 Hg
0.250 0.000 0.500 Hg
0.000 0.500 0.250 Hg
0.750 0.000 0.500 Hg
0.500 0.250 0.000 Hg
0.000 0.500 0.750 Hg
0.500 0.000 0.250 Li
0.000 0.750 0.500 Li
0.750 0.500 0.000 Li
0.250 0.500 0.000 Li
0.500 0.000 0.750 Li
0.000 0.250 0.500 Li
0.000 0.000 0.000 Sn
0.500 0.500 0.500 Sn
```



[3]
DFT (PBE-GGA) results for an optimized crystal structure of Li4SnHg.

Values from the calculation:
- Calculated formation energy: -2.0 eV per formula unit
- Energy relative to the lowest polymorph listed for this composition: 0 meV per atom
- Total DFT energy (no corrections): -2.326 eV/atom

POSCAR file:
```
Li4SnHg
1.0
4.600 -0.001 0.001
0.001 5.573 2.020
-0.001 0.085 8.461
Sn Li Hg
2 8 2
direct
0.250 0.371 0.757 Sn
0.750 0.629 0.243 Sn
0.250 0.955 0.084 Li
0.750 0.224 0.583 Li
0.250 0.461 0.084 Li
0.250 0.776 0.417 Li
0.750 0.694 0.583 Li
0.750 0.539 0.916 Li
0.750 0.045 0.916 Li
0.250 0.306 0.417 Li
0.250 0.881 0.739 Hg
0.750 0.119 0.261 Hg
```



[4]
DFT (PBE-GGA) results for an optimized crystal structure of Li7Sn6Hg16.

Values from the calculation:
- Calculated formation energy: -4.1 eV per formula unit
- Total DFT energy (no corrections): -1.598 eV/atom

POSCAR file:
```
Li7Sn6Hg16
1.0
8.488 0.000 4.901
2.829 8.002 4.901
0.000 0.000 9.801
Li Hg Sn
7 16 6
direct
0.500 0.500 0.500 Li
0.000 0.500 0.000 Li
0.500 0.000 0.000 Li
0.500 0.500 0.000 Li
0.000 0.500 0.500 Li
0.500 0.000 0.500 Li
0.000 0.000 0.500 Li
0.379 0.379 0.379 Hg
0.621 0.621 0.137 Hg
0.621 0.621 0.621 Hg
0.456 0.848 0.848 Hg
0.137 0.621 0.621 Hg
0.621 0.137 0.621 Hg
0.379 0.863 0.379 Hg
0.544 0.152 0.152 Hg
0.152 0.544 0.152 Hg
0.848 0.848 0.456 Hg
0.848 0.456 0.848 Hg
0.379 0.379 0.863 Hg
0.863 0.379 0.379 Hg
0.152 0.152 0.152 Hg
0.848 0.848 0.848 Hg
0.152 0.152 0.544 Hg
0.779 0.221 0.221 Sn
0.779 0.221 0.779 Sn
0.221 0.779 0.221 Sn
0.221 0.221 0.779 Sn
0.779 0.779 0.221 Sn
0.221 0.779 0.779 Sn
```



[5]
DFT (PBE-GGA) results for an optimized crystal structure of LiSnHg6.

Values from the calculation:
- Calculated formation energy: -0.4 eV per formula unit
- Energy relative to the lowest polymorph listed for this composition: 8 meV per atom
- Total DFT energy (no corrections): -1.014 eV/atom

POSCAR file:
```
LiSnHg6
1.0
-2.405 4.954 2.467
-5.277 -0.098 3.789
0.695 -5.923 6.187
Hg Li Sn
6 1 1
direct
0.815 0.216 0.241 Hg
0.242 0.345 0.240 Hg
0.661 0.786 0.242 Hg
0.185 0.784 0.759 Hg
0.339 0.214 0.758 Hg
0.758 0.655 0.760 Hg
0.000 0.000 0.000 Li
0.500 0.500 0.500 Sn
```



[6]
DFT (PBE-GGA) results for an optimized crystal structure of Li5Sn2Hg5.

Values from the calculation:
- Calculated formation energy: -3.2 eV per formula unit
- Total DFT energy (no corrections): -1.861 eV/atom

POSCAR file:
```
Li5Sn2Hg5
1.0
-3.316 0.061 -3.329
0.094 -3.175 -3.464
-8.454 -9.114 4.912
Li Sn Hg
5 2 5
direct
0.855 0.855 0.438 Li
0.000 0.000 0.000 Li
0.145 0.145 0.562 Li
0.623 0.623 0.130 Li
0.377 0.377 0.870 Li
0.925 0.925 0.223 Sn
0.075 0.075 0.777 Sn
0.218 0.218 0.342 Hg
0.500 0.500 0.500 Hg
0.782 0.782 0.658 Hg
0.696 0.696 0.911 Hg
0.304 0.304 0.089 Hg
```